# 1
DFT (PBE) results for a relaxed structure of Sr3YBe2O6.

## Properties
Magnetization: 0.0000 μB per atom
Uncorrected energy: -6.7428 eV/atom
ΔE_f (raw): -32.2 eV per formula unit

Lattice parameters (Å, degrees): 5.6505 5.6505 6.8873 90.00 90.00 120.00
Space group P-3m1 (No. 164)
One atom of each set of equivalent atoms:
Sr: 0.0000 0.0000 0.0000 (multiplicity 1)
Sr: 0.3333 0.6667 0.6919 (multiplicity 2)
Y: 0.0000 0.0000 0.5000 (multiplicity 1)
Be: 0.3333 0.6667 0.2604 (multiplicity 2)
O: 0.1766 0.3532 0.2913 (multiplicity 6)

# 2
DFT (PBE) results for a relaxed structure of Rb.

## Properties
Magnetization: 0.0000 μB per atom
Energy of formation from the pure elements: 0.040 eV per atom
Energy above the most stable polymorph in this dataset: 0.040 eV per atom
Uncorrected energy: -0.9276 eV/atom

Lattice parameters (Å, degrees): 16.1537 16.1537 5.0013 90.00 90.00 120.00
Space group P6_3/m (No. 176)
One atom of each set of equivalent atoms:
Rb: 0.1401 0.5710 0.2500 (multiplicity 6)
Rb: 0.1499 0.3039 0.7500 (multiplicity 6)

# 3
DFT (PBE) results for a relaxed structure of BeTlCdB2.

## Properties
Magnetization: 0.0000 μB per atom
Energy of formation from the pure elements: 1.754 eV per atom
Uncorrected energy: -2.3181 eV/atom

Lattice parameters (Å, degrees): 4.463 4.463 4.690 90.00 90.00 90.00
Space group P4/mmm (No. 123)
One atom of each set of equivalent atoms:
Be: 0.000 0.000 0.000 (multiplicity 1)
Tl: 0.500 0.500 0.000 (multiplicity 1)
Cd: 0.000 0.000 0.500 (multiplicity 1)
B: 0.000 0.500 0.500 (multiplicity 2)

# 4
DFT (PBE) results for a relaxed structure of La2CuW.

## Properties
Magnetization: 0.0000 μB per atom
Energy of formation from the pure elements: 0.648 eV per atom
Energy above the most stable polymorph in this dataset: 0.291 eV per atom
Uncorrected energy: -6.0781 eV/atom

Lattice parameters (Å, degrees): 3.6142 3.6142 26.7946 90.00 90.00 120.00
Space group R-3m (No. 166, hexagonal axes)
One atom of each set of equivalent atoms:
La: 0.0000 0.0000 0.2481 (multiplicity 6)
Cu: 0.0000 0.0000 0.0000 (multiplicity 3)
W: 0.0000 0.0000 0.5000 (multiplicity 3)

# 5
DFT (PBE) results for a relaxed structure of BP.

## Properties
Magnetization: 0.0000 μB per atom
Energy of formation from the pure elements: -0.031 eV per atom
Uncorrected energy: -6.0747 eV/atom

Lattice parameters (Å, degrees): 3.2125 3.2125 4.9097 90.00 90.00 120.00
Space group P-6m2 (No. 187)
One atom of each set of equivalent atoms:
B: 0.0000 0.0000 0.0000 (multiplicity 1)
P: 0.3333 0.6667 0.0000 (multiplicity 1)

# 6
DFT (PBE) results for a relaxed structure of Mg6CrSn.

## Properties
Magnetization: 0.4589 μB per atom
Energy of formation from the pure elements: 0.069 eV per atom
Uncorrected energy: -2.8306 eV/atom

Lattice parameters (Å, degrees): 4.998 6.354 10.834 90.00 90.00 90.00
Space group Amm2 (No. 38)
One atom of each set of equivalent atoms:
Mg: 0.000 0.000 0.000 (multiplicity 2)
Mg: 0.000 0.245 0.747 (multiplicity 4)
Mg: 0.500 0.000 0.834 (multiplicity 2)
Mg: 0.500 0.246 0.580 (multiplicity 4)
Cr: 0.000 0.000 0.497 (multiplicity 2)
Sn: 0.500 0.000 0.337 (multiplicity 2)

# 7
DFT (PBE) results for a relaxed structure of RbMgCd3.

## Properties
Magnetization: 0.0000 μB per atom
Energy of formation from the pure elements: 0.105 eV per atom
Energy above the most stable polymorph in this dataset: 0.136 eV per atom
Uncorrected energy: -0.9566 eV/atom

Lattice parameters (Å, degrees): 5.631 5.631 5.631 90.00 90.00 90.00
Space group Pm-3m (No. 221)
One atom of each set of equivalent atoms:
Rb: 0.000 0.000 0.000 (multiplicity 1)
Mg: 0.500 0.500 0.500 (multiplicity 1)
Cd: 0.000 0.500 0.500 (multiplicity 3)

# 8
DFT (PBE) results for a relaxed structure of PuInAg2O6.

## Properties
Magnetization: 0.0931 μB per atom
Uncorrected energy: -6.6400 eV/atom
ΔE_f (raw): -13.9 eV per formula unit

Lattice parameters (Å, degrees): 5.7170 5.7170 14.4940 90.00 90.00 120.00
Space group R-3 (No. 148, hexagonal axes)
One atom of each set of equivalent atoms:
Pu: 0.0000 0.0000 0.0000 (multiplicity 3)
In: 0.0000 0.0000 0.5000 (multiplicity 3)
Ag: 0.0000 0.0000 0.2447 (multiplicity 6)
O: 0.0144 0.4136 0.7480 (multiplicity 18)